This record from Alexandria via LeMat-Bulk describes a geometry-optimized PrNd2Ho3Er6 structure. The functional is PBE.

## Properties
N(E_F): 1.31 states/eV/atom
ΔE_f: 0.0218 eV/atom

POSCAR file:
```
PrNd2Ho3Er6
1.0
6.1688 0.0014 0.0130
-3.0817 5.3439 0.0130
-1.0499 -1.8179 11.5484
Pr Nd Ho Er
1 2 3 6
direct
0.0000 0.0000 0.0000 Pr
0.3333 0.6667 0.0000 Nd
0.6667 0.3333 0.0000 Nd
0.1666 0.8334 0.5000 Ho
0.8334 0.1666 0.5000 Ho
0.5000 0.5000 0.5000 Ho
0.9144 0.5809 0.7457 Er
0.7520 0.7520 0.2542 Er
0.0856 0.4191 0.2543 Er
0.5809 0.9144 0.7457 Er
0.2480 0.2480 0.7458 Er
0.4191 0.0856 0.2543 Er
```